No. 1
Entry from Alexandria: crystalline KSrCd2F8 at its relaxed geometry (PBE).

Size of the total moment: 2.273 μB per cell
ρ: 4.483 g cm⁻³
Total DFT energy (no corrections): -4.14 eV per atom
Formation energy (no corrections): -242.4 kJ/mol of atoms

Cell and atoms, written as CIF:
```
data_KSrCd2F8
_space_group_name_H-M_alt 'I -4 m 2'
_space_group_IT_number 119
_space_group_name_Hall 'I -4 -2'
_cell_length_a 5.862
_cell_length_b 5.862
_cell_length_c 10.854
_cell_angle_alpha 90.00
_cell_angle_beta 90.00
_cell_angle_gamma 90.00
loop_
_atom_site_label
_atom_site_fract_x
_atom_site_fract_y
_atom_site_fract_z
K1 0.000 0.000 0.000
Sr1 0.000 0.500 0.250
Cd1 0.000 0.000 0.500
Cd2 0.000 0.500 0.750
F1 0.224 0.240 0.629
```

=====

No. 2
Entry from Alexandria: crystalline KTa2CdF at its relaxed geometry (PBE).

Size of the total moment: 4.362 μB per cell
ρ: 5.705 g cm⁻³
Total DFT energy (no corrections): -4.03 eV per atom
Formation energy (no corrections): 143.6 kJ/mol of atoms

Cell and atoms, written as CIF:
```
data_KTa2CdF
_space_group_name_H-M_alt 'P 4/m m m'
_space_group_IT_number 123
_space_group_name_Hall '-P 4 2'
_cell_length_a 5.245
_cell_length_b 5.245
_cell_length_c 5.634
_cell_angle_alpha 90.00
_cell_angle_beta 90.00
_cell_angle_gamma 90.00
loop_
_atom_site_label
_atom_site_fract_x
_atom_site_fract_y
_atom_site_fract_z
K1 0.000 0.000 0.000
Ta1 0.000 0.500 0.500
Cd1 0.500 0.500 0.500
F1 0.500 0.500 0.000
```

=====

No. 3
Entry from Alexandria: crystalline K2TbCd3F12 at its relaxed geometry (PBE).

Size of the total moment: 0.001 μB per cell
ρ: 3.562 g cm⁻³
Total DFT energy (no corrections): -4.36 eV per atom
Formation energy (no corrections): -249.3 kJ/mol of atoms

Cell and atoms, written as CIF:
```
data_K2TbCd3F12
_space_group_name_H-M_alt 'R -3 m'
_space_group_IT_number 166
_space_group_name_Hall '-R 3 2"'
_cell_length_a 7.9209
_cell_length_b 7.9209
_cell_length_c 20.6538
_cell_angle_alpha 90.00
_cell_angle_beta 90.00
_cell_angle_gamma 120.00
loop_
_atom_site_label
_atom_site_fract_x
_atom_site_fract_y
_atom_site_fract_z
K1 0.0000 0.0000 0.0891
Tb1 0.0000 0.0000 0.5000
Cd1 0.0000 0.5000 0.0000
F1 0.0443 0.5222 0.3563
F2 0.0711 0.5355 0.1059
```

=====

No. 4
Entry from Alexandria: crystalline K2CdTeF at its relaxed geometry (PBE).

Size of the total moment: 0.000 μB per cell
ρ: 3.927 g cm⁻³
Total DFT energy (no corrections): -2.91 eV per atom
Formation energy (no corrections): -124.0 kJ/mol of atoms

Cell and atoms, written as CIF:
```
data_K2CdTeF
_space_group_name_H-M_alt 'P 4/m m m'
_space_group_IT_number 123
_space_group_name_Hall '-P 4 2'
_cell_length_a 5.086
_cell_length_b 5.086
_cell_length_c 5.512
_cell_angle_alpha 90.00
_cell_angle_beta 90.00
_cell_angle_gamma 90.00
loop_
_atom_site_label
_atom_site_fract_x
_atom_site_fract_y
_atom_site_fract_z
K1 0.000 0.500 0.000
Cd1 0.000 0.000 0.500
Te1 0.500 0.500 0.500
F1 0.000 0.000 0.000
```

=====

No. 5
Entry from Alexandria: crystalline K2TlCd3F8 at its relaxed geometry (PBE).

Size of the total moment: 0.000 μB per cell
ρ: 4.473 g cm⁻³
Total DFT energy (no corrections): -3.75 eV per atom
Formation energy (no corrections): -208.2 kJ/mol of atoms

Cell and atoms, written as CIF:
```
data_K2TlCd3F8
_space_group_name_H-M_alt 'R 3 m'
_space_group_IT_number 160
_space_group_name_Hall 'R 3 -2"'
_cell_length_a 7.1894
_cell_length_b 7.1894
_cell_length_c 19.2027
_cell_angle_alpha 90.00
_cell_angle_beta 90.00
_cell_angle_gamma 120.00
loop_
_atom_site_label
_atom_site_fract_x
_atom_site_fract_y
_atom_site_fract_z
K1 0.0000 0.0000 0.0000
K2 0.0000 0.0000 0.3765
Tl1 0.0000 0.0000 0.6260
Cd1 0.1686 0.3371 0.8335
F1 0.0000 0.0000 0.2337
F2 0.0000 0.0000 0.7753
F3 0.0393 0.5196 0.7670
F4 0.1859 0.3718 0.5653
```

=====

No. 6
Entry from Alexandria: crystalline KTl2CdF6 at its relaxed geometry (PBE).

Size of the total moment: 0.000 μB per cell
ρ: 5.911 g cm⁻³
Total DFT energy (no corrections): -3.86 eV per atom
Formation energy (no corrections): -199.3 kJ/mol of atoms

Cell and atoms, written as CIF:
```
data_KTl2CdF6
_space_group_name_H-M_alt 'P 1 21/c 1'
_space_group_IT_number 14
_cell_length_a 6.214
_cell_length_b 6.729
_cell_length_c 10.912
_cell_angle_alpha 90.00
_cell_angle_beta 123.88
_cell_angle_gamma 90.00
loop_
_space_group_symop_operation_xyz
'x,y,z'
'-x,-y,-z'
'-x,y+1/2,-z+1/2'
'x,-y+1/2,z+1/2'
loop_
_atom_site_label
_atom_site_fract_x
_atom_site_fract_y
_atom_site_fract_z
K1 0.000 0.000 0.000
Tl1 0.216 0.045 0.727
Cd1 0.500 0.000 0.500
F1 0.154 0.155 0.473
F2 0.208 0.742 0.383
F3 0.424 0.108 0.279
```